Record 1
Here is crystalline K2PuAl2Sb4 at its relaxed geometry from the Alexandria database. Energies are from PBE.

abc: 4.4073 8.5209 8.4324
angles: 106.56 105.15 90.00
Closest atoms and distances in Å follow each position.
Positions (direct):
Pu 0.0000 0.0000 0.0000  6 Sb 3.09-3.23
K 0.1309 0.5573 0.2618  7 Sb 3.66-3.74, 1 K 4.08, 2 Al 4.09
K 0.8691 0.4427 0.7382  7 Sb 3.66-3.74, 1 K 4.08, 2 Al 4.09
Sb 0.2043 0.1812 0.4086  3 Al 2.76-2.80
Sb 0.7957 0.8188 0.5914  3 Al 2.76-2.80
Sb 0.5109 0.7531 0.0219  1 Al 2.69
Sb 0.4891 0.2469 0.9781  1 Al 2.69
Al 0.6670 0.9767 0.3340  4 Sb 2.69-2.80
Al 0.3330 0.0233 0.6660  4 Sb 2.69-2.80

Properties
Formation energy from raw total energies = -388 meV/atom
Space group = C2/m
Raw total energy = -43.99 eV per formula unit
Density of states at the Fermi level = 1.67 states/eV per atom



Record 2
Here is crystalline Li2CuP at its relaxed geometry from the Alexandria database. Energies are from PBE.

abc: 4.4094 4.4094 2.8520
angles: 90.00 90.00 111.39
Closest atoms and distances in Å follow each position.
Positions (direct):
Li 0.5000 0.5000 0.0000  2 Li 2.49, 4 Cu 2.63, 4 P 2.63
Li 0.0000 0.0000 0.0000  2 Li 2.49, 4 P 2.63, 4 Cu 2.63
P 0.5000 0.0000 0.5000  2 Cu 2.49, 8 Li 2.63
Cu 0.0000 0.5000 0.5000  2 P 2.49, 8 Li 2.63

Properties
Space group = Cmmm
Energy of formation = -261 meV/atom
Raw total energy = -14.38 eV per formula unit
Density of states at the Fermi level = 0.25 states/eV per atom



Record 3
Here is crystalline ZrAl at its relaxed geometry from the Alexandria database. Energies are from PBE.

abc: 5.7054 8.7495 9.4893
angles: 90.00 90.00 90.00
Closest atoms and distances in Å follow each position.
Positions (direct):
Zr 0.7500 0.5295 0.1172  9 Al 2.86-3.01
Zr 0.0000 0.7500 0.3858  2 Zr 2.85, 6 Al 2.89-2.99
Zr 0.2500 0.9705 0.1172  9 Al 2.86-3.01
Zr 0.5000 0.2500 0.6142  2 Zr 2.85, 6 Al 2.89-2.99
Zr 0.5000 0.7500 0.3858  2 Zr 2.85, 6 Al 2.89-2.99
Zr 0.2500 0.3638 0.3113  7 Al 2.79-3.11
Zr 0.0000 0.2500 0.6142  2 Zr 2.85, 6 Al 2.89-2.99
Zr 0.7500 0.0295 0.8828  9 Al 2.86-3.01
Zr 0.2500 0.8638 0.6887  7 Al 2.79-3.11
Zr 0.7500 0.6362 0.6887  7 Al 2.79-3.11
Zr 0.7500 0.1362 0.3113  7 Al 2.79-3.11
Zr 0.2500 0.4705 0.8828  9 Al 2.86-3.01
Al 0.5000 0.2500 0.0688  4 Al 2.71-2.85, 6 Zr 2.87-2.98
Al 0.2500 0.5487 0.5871  9 Zr 2.89-3.11
Al 0.0000 0.7500 0.9312  4 Al 2.71-2.85, 6 Zr 2.87-2.98
Al 0.7500 0.9513 0.5871  9 Zr 2.89-3.11
Al 0.5000 0.7500 0.9312  4 Al 2.71-2.85, 6 Zr 2.87-2.98
Al 0.7500 0.8718 0.1462  2 Al 2.71, 7 Zr 2.79-3.01
Al 0.7500 0.3718 0.8538  2 Al 2.71, 7 Zr 2.79-3.01
Al 0.2500 0.1282 0.8538  2 Al 2.71, 7 Zr 2.79-3.01
Al 0.0000 0.2500 0.0688  4 Al 2.71-2.85, 6 Zr 2.87-2.98
Al 0.7500 0.4513 0.4129  9 Zr 2.89-3.11
Al 0.2500 0.0487 0.4129  9 Zr 2.89-3.11
Al 0.2500 0.6282 0.1462  2 Al 2.71, 7 Zr 2.79-3.01

Properties
Space group = Pbcm
Energy of formation = -459 meV/atom
Raw total energy = -13.21 eV per formula unit
Density of states at the Fermi level = 0.60 states/eV per atom



Record 4
Here is crystalline Pr3Zn2Au9 at its relaxed geometry from the Alexandria database. Energies are from PBE.

abc: 4.4451 8.6602 8.6602
angles: 73.36 75.13 75.13
Closest atoms and distances in Å follow each position.
Positions (direct):
Au 0.8697 0.8405 0.4202  4 Au 2.77-2.95, 2 Zn 2.81
Au 0.6544 0.7137 0.9774  1 Zn 2.71, 4 Au 2.73-2.95
Au 0.3456 0.2863 0.0226  1 Zn 2.71, 4 Au 2.73-2.95
Au 0.1303 0.5798 0.1595  4 Au 2.77-2.95, 2 Zn 2.81
Au 0.1303 0.1595 0.5798  4 Au 2.77-2.95, 2 Zn 2.81
Au 0.8697 0.4202 0.8405  4 Au 2.77-2.95, 2 Zn 2.81
Au 0.3456 0.0226 0.2863  1 Zn 2.71, 4 Au 2.73-2.95
Au 0.6544 0.9774 0.7137  1 Zn 2.71, 4 Au 2.73-2.95
Au 0.0000 0.5000 0.5000  4 Au 2.77, 4 Zn 3.00
Zn 0.5000 0.6954 0.3046  8 Au 2.71-3.00
Zn 0.5000 0.3046 0.6954  8 Au 2.71-3.00
Pr 0.0000 0.0000 0.0000  12 Au 3.31-3.45
Pr 0.3006 0.6994 0.6994  10 Au 3.24-3.44, 2 Zn 3.31
Pr 0.6994 0.3006 0.3006  10 Au 3.24-3.44, 2 Zn 3.31

Properties
Space group = Immm
Energy of formation = -562 meV/atom
Raw total energy = -54.25 eV per formula unit
Density of states at the Fermi level = 0.53 states/eV per atom



Record 5
Here is crystalline LiYPuGe at its relaxed geometry from the Alexandria database. Energies are from PBE.

abc: 5.0628 5.0628 5.0628
angles: 60.00 60.00 60.00
Closest atoms and distances in Å follow each position.
Positions (direct):
Y 0.0000 0.0000 0.0000  4 Ge 3.10, 4 Li 3.10
Ge 0.2500 0.2500 0.2500  4 Pu 3.10, 4 Y 3.10
Li 0.7500 0.7500 0.7500  4 Y 3.10, 4 Pu 3.10
Pu 0.5000 0.5000 0.5000  4 Ge 3.10, 4 Li 3.10

Properties
Space group = F-43m
Energy of formation = -241 meV/atom
Raw total energy = -28.29 eV per formula unit
Density of states at the Fermi level = 1.81 states/eV per atom



Record 6
Here is crystalline Tb8AlC4 at its relaxed geometry from the Alexandria database. Energies are from PBE.

abc: 3.6345 8.9574 9.1873
angles: 82.55 78.59 78.29
Closest atoms and distances in Å follow each position.
Positions (direct):
C 0.8483 0.5059 0.7975  6 Tb 2.46-2.53
C 0.1831 0.4976 0.1362  6 Tb 2.46-2.53
C 0.3660 0.8351 0.4328  6 Tb 2.48-2.52
C 0.6654 0.1682 0.5010  6 Tb 2.48-2.52
Tb 0.1779 0.0132 0.6309  3 C 2.48-2.49
Tb 0.8150 0.3382 0.0318  3 C 2.46-2.53
Tb 0.5574 0.6574 0.2279  3 C 2.48-2.52
Tb 0.8831 0.6760 0.5578  3 C 2.49-2.51
Tb 0.4741 0.3461 0.7058  3 C 2.48-2.52
Tb 0.1484 0.3272 0.3759  3 C 2.50-2.51
Tb 0.2164 0.6653 0.9019  3 C 2.46-2.53
Tb 0.8535 0.9901 0.3029  3 C 2.48-2.49
Al 0.5156 0.0018 0.9670  10 Tb 3.52-3.65, 2 Al 3.63

Properties
Space group = C2/m
Energy of formation = -218 meV/atom
Raw total energy = -80.51 eV per formula unit
Density of states at the Fermi level = 0.79 states/eV per atom



Record 7
Here is crystalline PmTl2IO6 at its relaxed geometry from the Alexandria database. Energies are from PBE.

abc: 6.3294 6.3294 10.7268
angles: 72.84 72.84 60.00
Closest atoms and distances in Å follow each position.
Positions (direct):
Tl 0.2568 0.2568 0.2295  3 O 2.64
Tl 0.1291 0.1291 0.6128  12 O 3.14-3.21
Tl 0.8709 0.8709 0.3872  12 O 3.14-3.21
Tl 0.7432 0.7432 0.7705  3 O 2.64
O 0.4000 0.4000 0.3837  1 I 1.92
O 0.8220 0.8220 0.1089  1 I 1.90
O 0.6000 0.6000 0.6163  1 I 1.92
O 0.7528 0.1780 0.8911  1 I 1.90
O 0.6000 0.1837 0.6163  1 I 1.92
O 0.8220 0.2472 0.1089  1 I 1.90
O 0.8163 0.4000 0.3837  1 I 1.92
O 0.1837 0.6000 0.6163  1 I 1.92
O 0.1780 0.1780 0.8911  1 I 1.90
O 0.2472 0.8220 0.1089  1 I 1.90
O 0.4000 0.8163 0.3837  1 I 1.92
O 0.1780 0.7528 0.8911  1 I 1.90
I 0.0000 0.0000 0.0000  6 O 1.90
I 0.5000 0.5000 0.5000  6 O 1.92
Pm 0.3955 0.3955 0.8135  6 O 2.24-2.50
Pm 0.6045 0.6045 0.1865  6 O 2.24-2.50

Properties
Formation energy from raw total energies = -1228 meV/atom
Space group = R-3m
Raw total energy = -53.07 eV per formula unit
Density of states at the Fermi level = 0.00 states/eV per atom



Record 8
Here is crystalline Zr at its relaxed geometry from the Alexandria database. Energies are from PBE.

abc: 3.2033 3.2033 3.2033
angles: 60.00 60.00 60.00
Closest atoms and distances in Å follow each position.
Positions (direct):
Zr 0.0000 0.0000 0.0000  12 Zr 3.20

Properties
Space group = Fm-3m
Energy of formation = 40 meV/atom
Polymorph energy (0 for the lowest one) = 40 meV/atom
Raw total energy = -8.51 eV per formula unit
Density of states at the Fermi level = 1.43 states/eV per atom



Q: What is the density of states at the Fermi level in the eighth record?
A: 1.43 states/eV per atom



What did the fifth record say?
Here is crystalline LiYPuGe at its relaxed geometry from the Alexandria database. Energies are from PBE.

abc: 5.0628 5.0628 5.0628
angles: 60.00 60.00 60.00
Closest atoms and distances in Å follow each position.
Positions (direct):
Y 0.0000 0.0000 0.0000  4 Ge 3.10, 4 Li 3.10
Ge 0.2500 0.2500 0.2500  4 Pu 3.10, 4 Y 3.10
Li 0.7500 0.7500 0.7500  4 Y 3.10, 4 Pu 3.10
Pu 0.5000 0.5000 0.5000  4 Ge 3.10, 4 Li 3.10

Properties
Space group = F-43m
Energy of formation = -241 meV/atom
Raw total energy = -28.29 eV per formula unit
Density of states at the Fermi level = 1.81 states/eV per atom



Q: Look up the raw total energy of the fifth one.
A: -28.29 eV per formula unit



Q: What is the formula in the third record?
A: ZrAl